# 1
Below is MgFeP2 after structural relaxation, with properties calculated at the GGA-PBE level.

a = 4.2579 Å, b = 4.2579 Å, c = 3.1921 Å
α = 90.00°, β = 90.00°, γ = 102.86°
Atoms (fractional coordinates):
P: 0.5000 0.5000 0.0000
P: 0.0000 0.0000 0.0000
Fe: 0.5000 0.0000 0.5000
Mg: 0.0000 0.5000 0.5000

- DOS(E_F) (states/eV/cell) = 3.31
- formation energy from the elements (meV/atom) = 75.2
- total magnetization (μB per formula unit) = 1.95

# 2
Below is MgFeP2 after structural relaxation, with properties calculated at the GGA-PBE level.

a = 4.1787 Å, b = 3.4280 Å, c = 4.4303 Å
α = 67.23°, β = 90.00°, γ = 90.00°
Atoms (fractional coordinates):
Fe: 0.0000 0.3219 0.4811
P: 0.0000 0.0259 0.0737
P: 0.5000 0.4336 0.2578
Mg: 0.5000 0.7186 0.6875

- DOS(E_F) (states/eV/cell) = 2.32
- formation energy from the elements (meV/atom) = -72.3
- total magnetization (μB per formula unit) = 0.72

# 3
Below is MgFe3P after structural relaxation, with properties calculated at the GGA-PBE level.

a = 4.2114 Å, b = 4.2114 Å, c = 4.2114 Å
α = 90.00°, β = 90.00°, γ = 90.00°
Atoms (fractional coordinates):
Mg: 0.0000 0.0000 0.0000
Fe: 0.0000 0.0000 0.5000
P: 0.5000 0.5000 0.5000
Fe: 0.5000 0.0000 0.0000
Fe: 0.0000 0.5000 0.0000

- DOS(E_F) (states/eV/cell) = 10.34
- excess energy over the best structure of this formula in the dataset (meV per atom) = 1997
- formation energy from the elements (meV/atom) = 2085.5
- total magnetization (μB per formula unit) = 0.46

# 4
Below is MgFeP after structural relaxation, with properties calculated at the GGA-PBE level.

a = 3.7618 Å, b = 3.7618 Å, c = 3.6408 Å
α = 90.00°, β = 90.00°, γ = 120.00°
Atoms (fractional coordinates):
Fe: 0.0000 0.0000 0.8333
P: 0.3333 0.6667 0.8333
Mg: 0.6667 0.3333 0.3333

- DOS(E_F) (states/eV/cell) = 2.24
- formation energy from the elements (meV/atom) = -334.3
- total magnetization (μB per formula unit) = 1.09

# 5
Below is MgFe3P after structural relaxation, with properties calculated at the GGA-PBE level.

a = 4.1917 Å, b = 4.1917 Å, c = 4.1917 Å
α = 90.00°, β = 90.00°, γ = 90.00°
Atoms (fractional coordinates):
Fe: 0.5000 0.0000 0.0000
Fe: 0.0000 0.5000 0.0000
Mg: 0.5000 0.5000 0.5000
Fe: 0.0000 0.0000 0.5000
P: 0.0000 0.0000 0.0000

- DOS(E_F) (states/eV/cell) = 2.58
- excess energy over the best structure of this formula in the dataset (meV per atom) = 0
- formation energy from the elements (meV/atom) = 88.6
- total magnetization (μB per formula unit) = 5.39

# 6
Below is MgFeP2 after structural relaxation, with properties calculated at the GGA-PBE level.

a = 3.1262 Å, b = 3.1262 Å, c = 5.8749 Å
α = 90.00°, β = 90.00°, γ = 90.00°
Atoms (fractional coordinates):
Mg: 0.5000 0.5000 0.7622
Fe: 0.0000 0.0000 0.4140
P: 0.5000 0.5000 0.3006
P: 0.0000 0.0000 0.0232

- DOS(E_F) (states/eV/cell) = 2.96
- formation energy from the elements (meV/atom) = -38.2
- total magnetization (μB per formula unit) = 1.39

# 7
Below is MgFeP2 after structural relaxation, with properties calculated at the GGA-PBE level.

a = 6.2718 Å, b = 6.2718 Å, c = 6.2718 Å
α = 31.86°, β = 31.86°, γ = 31.86°
Atoms (fractional coordinates):
P: 0.5186 0.5186 0.5186
P: 0.9814 0.9814 0.9814
Fe: 0.2500 0.2500 0.2500
Mg: 0.7500 0.7500 0.7500

- DOS(E_F) (states/eV/cell) = 1.88
- formation energy from the elements (meV/atom) = -251.4
- total magnetization (μB per formula unit) = 1.04

# 8
Below is MgFe2P after structural relaxation, with properties calculated at the GGA-PBE level.

a = 3.7925 Å, b = 3.7047 Å, c = 3.7047 Å
α = 90.00°, β = 90.00°, γ = 90.00°
Atoms (fractional coordinates):
P: 0.5000 0.0000 0.5000
Fe: 0.0000 0.0000 0.0000
Mg: 0.5000 0.5000 0.0000
Fe: 0.0000 0.5000 0.5000

- DOS(E_F) (states/eV/cell) = 3.00
- formation energy from the elements (meV/atom) = -1.5
- total magnetization (μB per formula unit) = 4.98